GGA-PBE Hf3PtN, optimized geometry; spin magnetization = 0.00 μB per atom; formation energy without anion corrections = -1.108 eV per atom; energy = -9.9532 eV/atom; crystal system = monoclinic
1.0
4.373 0.001 0.000
-0.001 6.122 0.000
-0.001 3.049 6.243
N Pt Hf
2 2 6
Direct
0.334 0.205 0.765
0.334 0.955 0.262
0.834 0.450 0.273
0.834 0.710 0.754
0.334 0.333 0.014
0.334 0.580 0.513
0.334 0.827 0.013
0.834 0.216 0.743
0.334 0.080 0.513
0.834 0.944 0.284

GGA-PBE Hf3PtN, optimized geometry; spin magnetization = 0.00 μB per atom; formation energy without anion corrections = -1.110 eV per atom; energy = -9.9558 eV/atom; crystal system = orthorhombic
1.0
4.450 0.002 -0.001
0.000 4.352 0.000
-2.225 2.176 8.576
Pt Hf N
2 6 2
Direct
0.644 0.470 0.134
0.024 0.590 0.893
0.531 0.082 0.909
0.272 0.342 0.389
0.396 0.718 0.638
0.136 0.978 0.118
0.762 0.852 0.370
0.906 0.208 0.657
0.404 0.210 0.654
0.264 0.850 0.373

GGA-PBE Hf3PtN, optimized geometry; spin magnetization = 0.00 μB per atom; formation energy without anion corrections = -0.240 eV per atom; energy = -9.0852 eV/atom; crystal system = tetragonal
1.0
-3.138 -3.368 2.634
1.297 -3.863 -3.395
4.441 -5.411 3.711
N Hf Pt
2 6 2
Direct
0.250 0.750 0.500
0.000 0.000 0.000
0.108 0.365 0.785
0.295 0.295 0.410
0.705 0.705 0.590
0.108 0.851 0.785
0.635 0.892 0.215
0.149 0.892 0.215
0.643 0.143 0.713
0.857 0.357 0.287

GGA-PBE Hf3PtN, optimized geometry; spin magnetization = 0.00 μB per atom; formation energy without anion corrections = -0.608 eV per atom; energy = -9.4537 eV/atom; crystal system = hexagonal
1.0
4.110 -2.373 0.000
0.000 4.746 0.000
0.000 0.000 8.586
Pt Hf N
2 6 2
Direct
0.667 0.333 0.250
0.333 0.667 0.750
0.333 0.667 0.424
0.667 0.333 0.924
0.333 0.667 0.076
0.000 0.000 0.750
0.000 0.000 0.250
0.667 0.333 0.576
0.000 0.000 0.000
0.000 0.000 0.500

GGA-PBE HfSc2PtN, optimized geometry; spin magnetization = 0.00 μB per atom; formation energy without anion corrections = -1.233 eV per atom; energy = -8.6299 eV/atom; crystal system = tetragonal
1.0
4.322 0.000 0.000
0.000 4.322 0.000
0.000 0.000 4.430
Pt Sc N Hf
1 2 1 1
Direct
0.500 0.500 0.500
0.500 0.000 0.000
0.000 0.500 0.000
0.000 0.000 0.000
0.000 0.000 0.500

GGA-PBE HfPtSe2N, optimized geometry; spin magnetization = 0.08 μB per atom; formation energy without anion corrections = 0.369 eV per atom; energy = -5.8883 eV/atom; crystal system = tetragonal
1.0
5.172 0.000 0.000
0.000 5.172 0.000
0.000 0.000 3.669
Pt Se N Hf
1 2 1 1
Direct
0.000 0.000 0.000
0.500 0.000 0.000
0.000 0.500 0.000
0.000 0.000 0.500
0.500 0.500 0.500

GGA-PBE HfPtSeN2, optimized geometry; spin magnetization = 0.08 μB per atom; formation energy without anion corrections = 0.633 eV per atom; energy = -6.5925 eV/atom; crystal system = tetragonal
1.0
4.014 0.000 0.000
0.000 4.014 0.000
0.000 0.000 5.641
N Pt Se Hf
2 1 1 1
Direct
0.000 0.500 0.000
0.500 0.000 0.000
0.500 0.500 0.500
0.000 0.000 0.500
0.000 0.000 0.000

GGA-PBE HfPtSeN2, optimized geometry; spin magnetization = 0.00 μB per atom; formation energy without anion corrections = 0.963 eV per atom; energy = -6.2629 eV/atom; crystal system = tetragonal
1.0
3.964 0.000 0.000
0.000 3.964 0.000
0.000 0.000 4.951
Hf N Pt Se
1 2 1 1
Direct
0.500 0.500 0.500
0.500 0.000 0.000
0.000 0.500 0.000
0.000 0.000 0.000
0.000 0.000 0.500

GGA-PBE HfPtSe2N, optimized geometry; spin magnetization = 0.04 μB per atom; formation energy without anion corrections = 0.365 eV per atom; energy = -5.8928 eV/atom; crystal system = tetragonal
1.0
-4.216 -2.832 1.274
2.695 -4.404 -0.871
1.150 -0.034 3.732
Se Hf Pt N
2 1 1 1
Direct
0.500 0.000 0.000
0.000 0.500 0.000
0.000 0.000 0.000
0.500 0.500 0.500
0.000 0.000 0.500

GGA-PBE Hf2TaPtN, optimized geometry; spin magnetization = 0.00 μB per atom; formation energy without anion corrections = -1.004 eV per atom; energy = -10.2296 eV/atom; crystal system = tetragonal
1.0
-2.705 1.333 -3.245
2.163 -2.593 -2.868
-2.571 -3.105 0.868
Ta Pt N Hf
1 1 1 2
Direct
0.000 0.000 0.500
0.500 0.500 0.500
0.000 0.000 0.000
0.000 0.500 0.000
0.500 0.000 0.000

GGA-PBE HfTePtN2, optimized geometry; spin magnetization = 0.27 μB per atom; formation energy without anion corrections = 1.210 eV per atom; energy = -5.9475 eV/atom; crystal system = tetragonal
1.0
-1.002 -3.900 -0.476
2.866 -1.062 2.664
-3.551 0.425 3.990
Pt N Hf Te
1 2 1 1
Direct
0.000 0.000 0.000
0.000 0.500 0.000
0.500 0.000 0.000
0.500 0.500 0.500
0.000 0.000 0.500

GGA-PBE HfTe2PtN, optimized geometry; spin magnetization = 0.00 μB per atom; formation energy without anion corrections = 0.427 eV per atom; energy = -5.6934 eV/atom; crystal system = tetragonal
1.0
-4.579 2.699 1.539
0.344 -2.283 5.028
2.059 2.838 1.148
Pt Hf Te N
1 1 2 1
Direct
0.000 0.000 0.000
0.500 0.500 0.500
0.500 0.000 0.000
0.000 0.500 0.000
0.000 0.000 0.500

GGA-PBE HfTePtN2, optimized geometry; spin magnetization = 0.00 μB per atom; formation energy without anion corrections = 0.555 eV per atom; energy = -6.6022 eV/atom; crystal system = tetragonal
1.0
-0.070 0.641 -3.973
0.132 -3.971 -0.643
-6.223 -0.219 0.075
Hf Te Pt N
1 1 1 2
Direct
0.000 0.000 0.000
0.000 0.000 0.500
0.500 0.500 0.500
0.500 0.000 0.000
0.000 0.500 0.000

GGA-PBE HfTe2PtN, optimized geometry; spin magnetization = 0.00 μB per atom; formation energy without anion corrections = 0.389 eV per atom; energy = -5.7319 eV/atom; crystal system = tetragonal
1.0
-0.725 -5.237 -1.896
1.455 -2.024 5.034
-3.710 0.109 1.117
N Pt Hf Te
1 1 1 2
Direct
0.000 0.000 0.500
0.500 0.500 0.500
0.000 0.000 0.000
0.500 0.000 0.000
0.000 0.500 0.000

GGA-PBE HfTh2PtN5, optimized geometry; spin magnetization = 0.00 μB per atom; formation energy without anion corrections = -1.066 eV per atom; energy = -9.1175 eV/atom; crystal system = orthorhombic
1.0
-1.204 1.121 2.990
-4.718 -4.645 -2.106
5.362 -7.740 5.060
Th N Pt Hf
4 10 2 2
Direct
0.143 0.286 0.303
0.104 0.208 0.684
0.857 0.714 0.803
0.896 0.792 0.184
0.679 0.359 0.876
0.056 0.112 0.077
0.367 0.734 0.995
0.278 0.556 0.655
0.486 0.973 0.769
0.722 0.444 0.155
0.514 0.027 0.269
0.321 0.641 0.376
0.944 0.888 0.577
0.633 0.266 0.495
0.474 0.948 0.453
0.526 0.052 0.953
0.797 0.595 0.512
0.203 0.405 0.012

GGA-PBE HfTi2PtN, optimized geometry; spin magnetization = 0.00 μB per atom; formation energy without anion corrections = -1.213 eV per atom; energy = -9.2349 eV/atom; crystal system = tetragonal
1.0
4.109 0.000 0.000
0.000 4.109 0.000
0.000 0.000 4.379
Hf Pt Ti N
1 1 2 1
Direct
0.000 0.000 0.500
0.500 0.500 0.500
0.000 0.500 0.000
0.500 0.000 0.000
0.000 0.000 0.000

GGA-PBE Hf2TiPtN, optimized geometry; spin magnetization = 0.06 μB per atom; formation energy without anion corrections = -1.198 eV per atom; energy = -9.6314 eV/atom; crystal system = tetragonal
1.0
-2.245 -1.152 -3.585
-1.584 -3.498 2.116
-3.192 2.223 1.284
Pt N Hf Ti
1 1 2 1
Direct
0.500 0.500 0.500
0.000 0.000 0.000
0.000 0.500 0.000
0.500 0.000 0.000
0.000 0.000 0.500

GGA-PBE Hf3TiPt2N, optimized geometry; spin magnetization = 0.00 μB per atom; formation energy without anion corrections = -1.146 eV per atom; energy = -9.4550 eV/atom; crystal system = orthorhombic
1.0
-0.971 2.887 -2.746
-4.192 -0.697 0.750
2.679 3.638 5.939
Pt Hf N Ti
2 3 1 1
Direct
0.636 0.636 0.271
0.364 0.364 0.729
0.824 0.824 0.648
0.176 0.176 0.352
0.000 0.500 0.000
0.000 0.000 0.000
0.500 0.000 0.000

GGA-PBE HfV2PtN, optimized geometry; spin magnetization = 0.00 μB per atom; formation energy without anion corrections = -0.934 eV per atom; energy = -9.4456 eV/atom; crystal system = tetragonal
1.0
3.938 0.000 0.000
0.000 3.938 0.000
0.000 0.000 4.431
Pt V N Hf
1 2 1 1
Direct
0.500 0.500 0.500
0.000 0.500 0.000
0.500 0.000 0.000
0.000 0.000 0.000
0.000 0.000 0.500

GGA-PBE HfVPt2N, optimized geometry; spin magnetization = 0.73 μB per atom; formation energy without anion corrections = 2.207 eV per atom; energy = -5.6885 eV/atom; crystal system = tetragonal
1.0
-1.635 3.218 -3.238
-4.597 0.003 2.324
1.454 3.627 2.870
N V Hf Pt
1 1 1 2
Direct
0.500 0.500 0.500
0.000 0.500 0.000
0.000 0.000 0.000
0.500 0.000 0.000
0.000 0.000 0.500